Below is a relaxed structure of Hg3As2F12, with properties calculated at the PBE-GGA level.

Geometry as extended XYZ:
```
34
Lattice="8.7258 0.0000 0.0000 0.0000 6.0317 -0.0163 0.0000 0.6047 11.7118" Properties=species:S:1:pos:R:3 pbc="T T T"
As 5.6443 4.3155 1.9901
As 1.2814 2.0186 3.8495
As 3.0815 2.3210 9.7054
As 7.4444 4.6179 7.8460
F 7.1252 5.1161 2.5095
F 2.7623 1.2180 3.3302
F 1.6006 1.5203 9.1861
F 5.9635 5.4185 8.3654
F 6.3346 4.0916 0.3609
F 1.9717 2.2426 5.4788
F 2.3911 2.5449 11.3347
F 6.7540 4.3939 6.2168
F 4.9383 5.8586 1.4917
F 0.5754 0.4755 4.3480
F 3.7875 0.7778 10.2039
F 8.1503 6.1610 7.3476
F 4.9408 4.4787 3.6065
F 0.5779 1.8555 2.2331
F 3.7850 2.1578 8.0890
F 8.1479 4.7810 9.4625
F 6.2592 2.7132 2.4306
F 1.8963 3.6209 3.4090
F 2.4666 3.9233 9.2649
F 6.8295 3.0156 8.2865
F 4.1210 3.5084 1.4192
F 8.4839 2.8257 4.4204
F 4.6048 3.1281 10.2763
F 0.2419 3.8107 7.2751
Hg 0.0000 0.0000 0.0000
Hg 4.3629 0.3024 5.8559
Hg 2.1053 4.6507 0.7727
Hg 6.4682 1.6834 5.0670
Hg 6.6204 1.9857 10.9229
Hg 2.2576 4.9531 6.6286
```

Computed properties:
Raw formation energy: -31.3 eV per formula unit
Size of the total moment: 0.00 μB per formula unit
Symmetry: P2_1/c, No. 14


Below is a relaxed structure of Hg3AsF4, with properties calculated at the PBE-GGA level.

Geometry as extended XYZ:
```
8
Lattice="7.5464 0.0525 -3.6559 -2.7268 9.2062 -5.9519 -1.6441 -3.3715 6.4158" Properties=species:S:1:pos:R:3 pbc="T T T"
As 4.4463 1.1300 -0.4020
Hg -0.2553 2.4260 0.2561
Hg 2.9248 5.4721 -3.7246
Hg 1.2976 -0.7093 1.9601
F -2.5923 2.5359 2.0492
F 4.0579 -0.1348 1.0483
F 0.1851 4.5998 -2.4394
F -2.2445 5.7093 -2.1469
```

Computed properties:
Raw formation energy: -10.8 eV per formula unit
Size of the total moment: 0.00 μB per formula unit
Symmetry: P1, No. 1


Below is a relaxed structure of Hg4AsI2F, with properties calculated at the PBE-GGA level.

Geometry as extended XYZ:
```
16
Lattice="9.3948 -0.9813 -0.1372 -0.9879 9.3941 -0.1372 -4.3368 -4.3399 5.9461" Properties=species:S:1:pos:R:3 pbc="T T T"
Hg 0.1877 6.9061 -0.1093
Hg 4.5239 0.8627 2.8081
Hg -0.4538 3.2102 2.8637
Hg 3.8826 -2.8331 5.7811
Hg 1.7911 2.3867 5.6262
Hg 3.7198 4.3167 2.8814
Hg 0.3503 -0.2436 2.7904
Hg 2.2790 1.6863 0.0455
As 2.0350 2.0365 2.8359
As 5.0580 -5.3211 5.8089
I 4.6974 -0.4906 -0.0686
I 2.5290 -2.6605 2.9044
I -2.1684 -2.1699 2.9730
I 4.2035 4.2064 -0.1372
F -0.4939 4.6971 -0.0686
F 6.7325 1.5459 2.7672
```

Computed properties:
Raw formation energy: -2.2 eV per formula unit
Size of the total moment: 0.00 μB per formula unit
Symmetry: C2/c, No. 15


Below is a relaxed structure of HgAsIF2, with properties calculated at the PBE-GGA level.

Geometry as extended XYZ:
```
5
Lattice="-2.6853 0.6297 -3.2356 -0.6405 -5.7477 -0.5869 -3.2629 0.0854 2.7245" Properties=species:S:1:pos:R:3 pbc="T T T"
I -3.2943 -2.5163 -0.5490
As 0.0000 0.0000 0.0000
Hg -0.3202 -2.8738 -0.2935
F -1.6314 0.0427 1.3623
F -1.3426 0.3148 -1.6178
```

Computed properties:
Raw formation energy: -4.9 eV per formula unit
Size of the total moment: 0.00 μB per formula unit
Symmetry: P4/mmm, No. 123


Q: What is the size of the total moment in the third record?
A: 0.00 μB per formula unit


Q: Which of these has the highest raw formation energy?
A: Hg4AsI2F